A relaxed Ce4Y2Pb3O2 crystal. Source: Alexandria, functional PBE-GGA.

Properties
Formation energy (no corrections)   -1279 meV per atom
D(E_F)   2.06 states/eV per atom
Size of the total moment   7.8 Bohr magnetons per cell
DFT total energy   -6.5251 eV per atom

abc: 4.7375 4.7375 26.1378
angles: 90.00 90.00 90.00
Space group I4/mmm (No. 139)
Asymmetric unit:
Ce: 0.0000 0.5000 0.0860 [8 per cell]
Y: 0.0000 0.0000 0.1961 [4 per cell]
Pb: 0.0000 0.0000 0.3185 [4 per cell]
Pb: 0.0000 0.0000 0.5000 [2 per cell]
O: 0.0000 0.0000 0.1052 [4 per cell]